# 1
# Al2InCoSi

A geometry-optimized Al2InCoSi structure (PBE, Alexandria).

## Properties
Uncorrected formation energy   1335 meV/atom

Lattice parameters (Å, degrees): 5.050 5.050 4.758 90.00 90.00 90.00
Space group P4/mmm (No. 123)
One atom of each set of equivalent atoms:
Al (0.000, 0.500, 0.000) (multiplicity 2)
In (0.000, 0.000, 0.000) (multiplicity 1)
Co (0.000, 0.000, 0.500) (multiplicity 1)
Si (0.500, 0.500, 0.500) (multiplicity 1)

=====

# 2
# SrAl2InCo

A geometry-optimized SrAl2InCo structure (PBE, Alexandria).

## Properties
Energy relative to the elements   -22.6 kJ/mol of atoms

Lattice parameters (Å, degrees): 4.663 4.663 4.959 90.00 90.00 90.00
Space group P4/mmm (No. 123)
One atom of each set of equivalent atoms:
Sr (0.000, 0.000, 0.000) (multiplicity 1)
Al (0.000, 0.500, 0.500) (multiplicity 2)
In (0.500, 0.500, 0.000) (multiplicity 1)
Co (0.500, 0.500, 0.500) (multiplicity 1)

=====

DOS(E_F) values, unit states/eV per atom, following the record order: 1.10; 0.54.